{
  "formula": "ErTl2WO6",
  "functional": "PBE with a Hubbard U",
  "state": "relaxed",
  "cell": [[5.927, 0.000, 0.000], [0.000, 5.923, 0.000], [-5.920, 0.000, 8.371]],
  "species": ["Er", "Er", "Tl", "Tl", "Tl", "Tl", "W", "W", "O", "O", "O", "O", "O", "O", "O", "O", "O", "O", "O", "O"],
  "frac_coords": [[0.000, 0.000, 0.000], [0.000, 0.500, 0.500], [0.252, 0.005, 0.750], [0.252, 0.495, 0.250], [0.748, 0.505, 0.750], [0.748, 0.995, 0.250], [0.500, 0.000, 0.500], [0.500, 0.500, 0.000], [0.225, 0.002, 0.268], [0.225, 0.498, 0.768], [0.275, 0.718, 0.022], [0.275, 0.782, 0.522], [0.305, 0.248, 0.521], [0.305, 0.252, 0.021], [0.695, 0.748, 0.979], [0.695, 0.752, 0.479], [0.725, 0.218, 0.478], [0.725, 0.282, 0.978], [0.775, 0.502, 0.232], [0.775, 0.998, 0.732]],
  "m_tot_mub_per_atom": 0.000,
  "volume_a3_per_fu": 147,
  "final_energy_ev_per_cell": -131.052
}